Run w
Crystalline La5Nd4 at its relaxed geometry, computed with PBE-GGA.

Calculated values
Symmetry: I4/mmm, No. 139

abc: 9.4905 9.4905 9.4905
angles: 92.23 92.23 157.22
Fractional coordinates of all 9 atoms:
La1 0.0000 0.0000 0.0000
La2 0.3333 0.3333 0.6665
La3 0.3333 0.6667 0.0000
La4 0.6667 0.3333 0.0000
La5 0.6667 0.6667 0.3335
Nd1 0.0000 0.3367 0.3367
Nd2 0.0000 0.6633 0.6633
Nd3 0.3367 0.0000 0.3367
Nd4 0.6633 0.0000 0.6633



Run x
Crystalline La5Nd4 at its relaxed geometry, computed with PBE-GGA.

Calculated values
Symmetry: Immm, No. 71

abc: 9.8253 9.8253 9.8253
angles: 158.21 110.97 73.35
Fractional coordinates of all 9 atoms:
La1 0.0000 0.0000 0.0000
La2 0.3332 0.0000 0.3332
La3 0.3331 0.3331 0.0000
La4 0.6668 0.0000 0.6668
La5 0.6669 0.6669 0.0000
Nd1 0.0005 0.6673 0.3332
Nd2 0.3341 0.6673 0.6668
Nd3 0.6659 0.3327 0.3332
Nd4 0.9995 0.3327 0.6668



Energies, relative to the best one, in kJ/mol of atoms: run w 8.0; run x 0.0.



Run w
Crystalline La5Nd6 at its relaxed geometry, computed with PBE-GGA.

Calculated values
Symmetry: C2/m, No. 12

abc: 8.9027 8.9027 8.2033
angles: 90.00 90.00 141.53
Fractional coordinates of all 11 atoms:
La1 0.0000 0.0000 0.0000
La2 0.3106 0.6894 0.5000
La3 0.3314 0.6686 0.0000
La4 0.6686 0.3314 0.0000
La5 0.6894 0.3106 0.5000
Nd1 0.1332 0.8673 0.2868
Nd2 0.1327 0.8668 0.7132
Nd3 0.4990 0.4990 0.7165
Nd4 0.5010 0.5010 0.2835
Nd5 0.8673 0.1332 0.2868
Nd6 0.8668 0.1327 0.7132



Run x
Crystalline La5Nd6 at its relaxed geometry, computed with PBE-GGA.

Calculated values
Symmetry: Immm, No. 71

abc: 9.6992 9.6992 9.6992
angles: 145.36 128.46 63.60
Fractional coordinates of all 11 atoms:
La1 0.0000 0.0000 0.0000
La2 0.1585 0.6585 0.5000
La3 0.3008 0.3008 0.0000
La4 0.6992 0.6992 0.0000
La5 0.8415 0.3415 0.5000
Nd1 0.1593 0.8637 0.2956
Nd2 0.2928 0.5000 0.7928
Nd3 0.4319 0.1363 0.2956
Nd4 0.5681 0.8637 0.7044
Nd5 0.7072 0.5000 0.2072
Nd6 0.8407 0.1363 0.7044



Energies, relative to the best one, in kJ/mol of atoms: run w 2.3; run x 0.0.



Run w
Crystalline LaNdNi at its relaxed geometry, computed with PBE-GGA.

Calculated values
Symmetry: P-1, No. 2

abc: 3.5677 6.7637 7.1517
angles: 99.36 90.08 105.28
Fractional coordinates of all 6 atoms:
La1 0.1175 0.2363 0.0682
La2 0.8825 0.7637 0.9318
Nd1 0.1346 0.2675 0.5858
Nd2 0.8654 0.7325 0.4142
Ni1 0.4820 0.9627 0.6974
Ni2 0.5180 0.0373 0.3026



Run x
Crystalline LaNdNi at its relaxed geometry, computed with PBE-GGA.

Calculated values
Symmetry: F-43m, No. 216

abc: 4.9344 4.9344 4.9344
angles: 60.00 60.00 60.00
Fractional coordinates of all 3 atoms:
La1 0.0000 0.0000 0.0000
Nd1 0.5000 0.5000 0.5000
Ni1 0.7500 0.7500 0.7500



Energies, relative to the best one, in kJ/mol of atoms: run w 0.0; run x 10.2.



Run w
Crystalline LaNdNi at its relaxed geometry, computed with PBE-GGA.

Calculated values
Symmetry: P3m1, No. 156

abc: 3.9861 3.9861 6.5650
angles: 90.00 90.00 120.00
Fractional coordinates of all 3 atoms:
La1 0.0000 0.0000 0.0000
Nd1 0.3333 0.6667 0.4931
Ni1 0.6667 0.3333 0.2451



Run x
Crystalline LaNdNi at its relaxed geometry, computed with PBE-GGA.

Calculated values
Symmetry: P2_1/c, No. 14

abc: 7.4904 6.9595 7.1451
angles: 90.00 113.22 90.00
Fractional coordinates of all 12 atoms:
La1 0.1919 0.1878 0.0773
La2 0.1919 0.3122 0.5773
La3 0.8081 0.6878 0.4227
La4 0.8081 0.8122 0.9227
Nd1 0.3049 0.6842 0.0143
Nd2 0.3049 0.8158 0.5143
Nd3 0.6951 0.1842 0.4857
Nd4 0.6951 0.3158 0.9857
Ni1 0.0488 0.5447 0.2046
Ni2 0.0488 0.9553 0.7046
Ni3 0.9512 0.0447 0.2954
Ni4 0.9512 0.4553 0.7954



Run y
Crystalline LaNdNi at its relaxed geometry, computed with PBE-GGA.

Calculated values
Symmetry: I4mm, No. 107

abc: 6.9903 6.9903 6.9903
angles: 150.53 150.53 42.17
Fractional coordinates of all 3 atoms:
La1 0.0000 0.0000 0.0000
Nd1 0.2538 0.2538 0.0000
Ni1 0.6293 0.6293 0.0000



Energies, relative to the best one, in kJ/mol of atoms: run w 2.4; run x 0.0; run y 1.5.